[1]
Computed, not measured: LiTcO6 after structural relaxation at the PBE level of DFT.

## Properties
As for the total energy: -5.67 eV per atom. The space group is Fm-3m (225). The value obtained for the density of states at the Fermi level is 4.8 states/eV/cell. The value obtained for the calculated volume is 14.916 Å³ per atom. Its formation energy from raw total energies is -412 meV/atom.

Structure (POSCAR):
```
LiTcO6
1.0
0.000 3.908 3.908
3.908 0.000 3.908
3.908 3.908 0.000
Li Tc O
1 1 6
Direct
0.000 0.000 0.000 Li
0.500 0.500 0.500 Tc
0.261 0.261 0.739 O
0.261 0.739 0.261 O
0.261 0.739 0.739 O
0.739 0.261 0.261 O
0.739 0.261 0.739 O
0.739 0.739 0.261 O
```

---

[2]
Computed, not measured: RbH6S2 after structural relaxation at the PBE level of DFT.

## Properties
As for the total energy: -3.36 eV per atom. The space group is C2/m (12). The value obtained for the density of states at the Fermi level is 2.1 states/eV/cell. The value obtained for the calculated volume is 16.312 Å³ per atom.

Structure (POSCAR):
```
RbH6S2
1.0
4.890 -3.100 0.000
4.890 3.100 0.000
-3.741 0.000 4.842
Rb H S
1 6 2
Direct
0.000 0.000 0.000 Rb
0.038 0.726 0.384 H
0.274 0.962 0.616 H
0.436 0.564 0.500 H
0.564 0.436 0.500 H
0.726 0.038 0.384 H
0.962 0.274 0.616 H
0.252 0.252 0.748 S
0.748 0.748 0.252 S
```

---

[3]
Computed, not measured: EuTm2Ni after structural relaxation at the PBE level of DFT.

## Properties
As for the total energy: -6.42 eV per atom. The space group is P4/mmm (123). The value obtained for the density of states at the Fermi level is 4.0 states/eV/cell. The value obtained for the calculated volume is 26.360 Å³ per atom. For the formation energy, the calculation gives -0.688 eV per formula unit.

Structure (POSCAR):
```
EuTm2Ni
1.0
3.413 0.000 0.000
0.000 3.413 0.000
0.000 0.000 9.052
Eu Tm Ni
1 2 1
Direct
0.000 0.000 0.000 Eu
0.500 0.500 0.326 Tm
0.500 0.500 0.674 Tm
0.000 0.000 0.500 Ni
```

---

[4]
Computed, not measured: Pr2NdSm3Te6 after structural relaxation at the PBE level of DFT.

## Properties
As for the total energy: -5.35 eV per atom. The space group is C2/m (12). The value obtained for the density of states at the Fermi level is 6.3 states/eV/cell. The value obtained for the calculated volume is 31.839 Å³ per atom. Its formation energy from raw total energies is -1410 meV/atom.

Structure (POSCAR):
```
Pr2NdSm3Te6
1.0
9.772 -2.228 0.000
9.772 2.228 0.000
-2.101 0.000 8.775
Pr Nd Sm Te
2 1 3 6
Direct
0.167 0.167 0.333 Pr
0.833 0.833 0.667 Pr
0.500 0.500 0.000 Nd
0.167 0.167 0.833 Sm
0.500 0.500 0.500 Sm
0.833 0.833 0.167 Sm
0.002 0.002 0.748 Te
0.333 0.333 0.921 Te
0.335 0.335 0.413 Te
0.665 0.665 0.587 Te
0.667 0.667 0.079 Te
0.998 0.998 0.252 Te
```

---

[5]
Computed, not measured: LaMg2SiCl after structural relaxation at the PBE level of DFT.

## Properties
As for the total energy: -3.04 eV per atom. The space group is P4/mmm (123). The value obtained for the density of states at the Fermi level is 6.1 states/eV/cell. The value obtained for the calculated volume is 29.912 Å³ per atom. Its formation energy from raw total energies is 33 meV/atom.

Structure (POSCAR):
```
LaMg2SiCl
1.0
4.750 0.000 0.000
0.000 4.750 0.000
0.000 0.000 6.629
La Mg Si Cl
1 2 1 1
Direct
0.000 0.000 0.000 La
0.000 0.500 0.500 Mg
0.500 0.000 0.500 Mg
0.500 0.500 0.500 Si
0.500 0.500 0.000 Cl
```

---

[6]
Computed, not measured: RePCl2 after structural relaxation at the PBE level of DFT.

## Properties
As for the total energy: -5.05 eV per atom. The space group is Imm2 (44). The value obtained for the density of states at the Fermi level is 7.0 states/eV/cell. The value obtained for the calculated volume is 22.257 Å³ per atom. Its formation energy from raw total energies is 339 meV/atom.

Structure (POSCAR):
```
RePCl2
1.0
3.048 0.000 0.000
0.000 4.768 0.000
0.000 0.000 12.253
Re P Cl
2 2 4
Direct
0.000 0.000 0.000 Re
0.500 0.500 0.500 Re
0.000 0.500 0.358 P
0.500 0.000 0.858 P
0.000 0.000 0.490 Cl
0.000 0.500 0.663 Cl
0.500 0.000 0.163 Cl
0.500 0.500 0.990 Cl
```

---

Q: density of states at the Fermi level of number 5 (LaMg2SiCl)?
A: 6.1 states/eV/cell